No. 1
Nd2YTh, optimized geometry, DFT PBE-GGA; spin magnetization = 0.00 μB per formula unit; VASP energy = -23.2 eV for the cell shown; energy relative to the elements = 0.043 eV per atom; crystal system = tetragonal; offset from the most stable computed form = 16 meV/atom
1.0
3.6283 0.0000 0.0000
0.0000 3.6283 0.0000
0.0000 0.0000 10.2852
Nd Y Th
2 1 1
Cartesian
0.0000 0.0000 2.4877
0.0000 0.0000 7.7975
1.8142 1.8142 5.1426
1.8142 1.8142 0.0000

---

No. 2
Nd6YTh3, optimized geometry, DFT PBE-GGA; spin magnetization = 0.00 μB per formula unit; VASP energy = -112.1 eV for the cell shown; energy relative to the elements = 0.130 eV per atom; crystal system = monoclinic
1.0
13.5288 0.0000 0.0000
0.0000 3.5395 0.0000
-1.2649 0.0000 14.3861
Nd Y Th
12 2 6
Cartesian
0.2008 0.8849 2.8705
0.0145 0.8849 8.6421
1.7765 0.8849 11.6962
3.4646 2.6546 3.0776
3.9183 2.6546 14.1296
5.2990 0.8849 5.7352
6.9650 2.6546 8.6509
8.3457 0.8849 0.2565
8.7993 0.8849 11.3085
10.4874 2.6546 2.6899
12.2494 2.6546 5.7440
12.0631 2.6546 11.5156
3.4219 2.6546 8.7785
8.8420 0.8849 5.6076
1.5594 2.6546 0.1450
1.9448 0.8849 5.9127
5.3138 0.8849 11.3386
6.9501 2.6546 3.0475
10.3191 2.6546 8.4735
10.7045 0.8849 14.2411

---

No. 3
Nd2YTh, optimized geometry, DFT PBE-GGA; spin magnetization = 0.00 μB per formula unit; VASP energy = -23.2 eV for the cell shown; energy relative to the elements = 0.053 eV per atom; crystal system = tetragonal; offset from the most stable computed form = 26 meV/atom
1.0
5.1239 0.0000 0.0000
0.0000 5.1239 0.0000
0.0000 0.0000 5.1222
Nd Y Th
2 1 1
Cartesian
0.0000 2.5619 0.0000
2.5619 0.0000 0.0000
0.0000 0.0000 2.5611
2.5619 2.5619 2.5611

---

No. 4
Nd2YTh4, optimized geometry, DFT PBE-GGA; spin magnetization = 0.00 μB per formula unit; VASP energy = -45.2 eV for the cell shown; energy relative to the elements = 0.074 eV per atom; crystal system = orthorhombic
1.0
1.7933 -18.2684 0.0000
1.7933 18.2684 0.0000
0.0000 0.0000 3.5904
Nd Y Th
2 1 4
Cartesian
1.7933 10.7509 0.0000
1.7933 -10.7509 0.0000
1.7933 0.0000 1.7952
1.7933 15.6858 0.0000
1.7933 5.0124 1.7952
1.7933 -5.0124 1.7952
1.7933 -15.6858 0.0000

---

No. 5
Nd2Y7Th, optimized geometry, DFT PBE-GGA; spin magnetization = 0.00 μB per formula unit; VASP energy = -60.5 eV for the cell shown; energy relative to the elements = 0.167 eV per atom; crystal system = orthorhombic
1.0
3.3101 -14.5089 0.0000
3.3101 14.5089 0.0000
0.0000 0.0000 3.4911
Nd Y Th
2 7 1
Cartesian
3.3101 8.5721 0.0000
3.3101 -8.5721 0.0000
0.0000 0.0000 0.0000
1.6953 2.8313 0.0000
3.3101 5.4338 1.7456
1.6953 -2.8313 0.0000
4.9248 2.8313 0.0000
3.3101 -5.4338 1.7456
4.9248 -2.8313 0.0000
3.3101 0.0000 1.7456

---

No. 6
Nd6Y12Th, optimized geometry, DFT PBE-GGA; spin magnetization = 0.00 μB per formula unit; VASP energy = -109.5 eV for the cell shown; energy relative to the elements = 0.214 eV per atom; crystal system = trigonal
1.0
6.7482 3.8961 4.1487
-6.7482 3.8961 4.1487
0.0000 -7.7921 4.1487
Nd Y Th
6 12 1
Cartesian
-2.9670 -1.7130 5.6392
0.0000 -3.4260 6.8068
-2.9670 1.7130 6.8068
2.9670 -1.7130 5.6393
0.0000 3.4260 5.6393
2.9670 1.7130 6.8068
-1.7341 -4.7886 4.1487
-5.0141 0.8926 4.1487
0.0000 -2.0992 3.0203
-1.8179 1.0496 3.0203
1.7341 -4.7886 4.1487
-3.2800 3.8961 4.1487
1.8179 1.0496 3.0203
-1.8179 -1.0496 9.4258
5.0141 0.8926 4.1487
3.2800 3.8961 4.1487
1.8179 -1.0496 9.4258
0.0000 2.0991 9.4258
0.0000 0.0000 6.2230

---

No. 7
Nd12Y6Th, optimized geometry, DFT PBE-GGA; spin magnetization = 0.00 μB per formula unit; VASP energy = -101.1 eV for the cell shown; energy relative to the elements = 0.121 eV per atom; crystal system = trigonal
1.0
6.7074 3.8725 4.2967
-6.7074 3.8725 4.2967
0.0000 -7.7450 4.2967
Nd Y Th
12 6 1
Cartesian
-1.7571 -4.7016 4.2967
-4.9502 0.8291 4.2967
-2.7935 -1.6128 5.7651
1.7571 -4.7016 4.2967
-3.1931 3.8725 4.2967
0.0000 -3.2256 7.1250
-2.7935 1.6128 7.1250
2.7935 -1.6128 5.7651
0.0000 3.2256 5.7651
4.9502 0.8291 4.2967
3.1931 3.8725 4.2967
2.7935 1.6128 7.1250
0.0000 -2.0447 2.9526
-1.7707 1.0223 2.9526
1.7707 1.0223 2.9525
-1.7707 -1.0223 9.9375
1.7707 -1.0223 9.9375
0.0000 2.0447 9.9375
0.0000 0.0000 0.0000

---

No. 8
Nd3YTh, optimized geometry, DFT PBE-GGA; spin magnetization = 0.00 μB per formula unit; VASP energy = -109.5 eV for the cell shown; energy relative to the elements = 0.161 eV per atom; crystal system = orthorhombic; offset from the most stable computed form = 0 meV/atom
1.0
6.6206 -6.7993 0.0000
6.6206 6.7993 0.0000
0.0000 0.0000 7.6963
Nd Y Th
12 4 4
Cartesian
4.6582 3.6826 0.9183
6.6206 5.5269 6.6202
4.6582 3.1167 4.7664
8.5831 3.6826 0.9183
6.6206 1.2724 2.7720
8.5831 3.1167 4.7664
4.6582 -3.1167 2.9299
6.6206 -1.2724 4.9243
4.6582 -3.6826 6.7781
8.5831 -3.1167 2.9299
6.6206 -5.5269 1.0761
8.5831 -3.6826 6.7781
3.3103 0.2393 1.9241
3.3103 -0.2393 5.7722
9.9310 0.2393 1.9241
9.9310 -0.2393 5.7722
6.6206 5.3789 3.1977
6.6206 1.4204 7.0458
6.6206 -1.4204 0.6505
6.6206 -5.3789 4.4987

---

No. 9
Nd5Y4Th, optimized geometry, DFT PBE-GGA; spin magnetization = 0.00 μB per formula unit; VASP energy = -54.3 eV for the cell shown; energy relative to the elements = 0.286 eV per atom; crystal system = tetragonal; offset from the most stable computed form = 243 meV/atom
1.0
-5.2595 5.2595 3.1624
5.2595 -5.2595 3.1624
5.2595 5.2595 -3.1624
Nd Y Th
5 4 1
Cartesian
0.0000 0.0000 0.0000
7.1843 3.2385 -1.4894
3.2385 3.3347 -1.4894
2.0210 1.9248 1.6730
-1.9248 2.0210 1.6730
5.2108 -1.8832 1.6207
5.3081 1.8832 1.6207
1.8832 5.2108 1.6207
-1.8832 5.3081 1.6207
0.0000 0.0000 3.3959

---

No. 10
Nd5Y2Th2, optimized geometry, DFT PBE-GGA; spin magnetization = 0.00 μB per formula unit; VASP energy = -49.1 eV for the cell shown; energy relative to the elements = 0.283 eV per atom; crystal system = monoclinic
1.0
11.8932 -1.7606 0.0000
11.8932 1.7606 0.0000
-1.8303 0.0000 8.0695
Nd Y Th
5 2 2
Cartesian
0.0000 0.0000 0.0000
0.7880 0.0000 5.9691
6.4260 0.0000 3.4536
15.5301 0.0000 4.6159
21.1680 0.0000 2.1004
3.3780 0.0000 1.5262
18.5780 0.0000 6.5433
9.5246 0.0000 5.0736
12.4315 0.0000 2.9959

---

No. 11
Nd3YTh2, optimized geometry, DFT PBE-GGA; spin magnetization = 0.00 μB per formula unit; VASP energy = -70.7 eV for the cell shown; energy relative to the elements = 0.044 eV per atom; crystal system = monoclinic; offset from the most stable computed form = 0 meV/atom
1.0
10.2336 0.0000 0.0000
0.0000 3.6357 0.0000
-0.0627 0.0000 10.8635
Nd Y Th
6 2 4
Cartesian
1.2526 0.9089 2.7105
1.3458 0.9089 9.9631
3.7191 2.7268 4.5233
6.4518 0.9089 6.3402
8.8252 2.7268 0.9004
8.9183 2.7268 8.1530
3.7907 2.7268 8.1395
6.3802 0.9089 2.7240
1.1905 0.9089 6.3153
3.9225 2.7268 0.8823
6.2484 0.9089 9.9812
8.9804 2.7268 4.5482

---

No. 12
Nd3Y7Th, optimized geometry, DFT PBE-GGA; spin magnetization = 0.00 μB per formula unit; VASP energy = -130.5 eV for the cell shown; energy relative to the elements = 0.156 eV per atom; crystal system = orthorhombic; offset from the most stable computed form = 0 meV/atom
1.0
9.4400 -3.4896 0.0000
9.4400 3.4896 0.0000
0.0000 0.0000 11.2885
Nd Y Th
6 14 2
Cartesian
0.0000 0.0000 0.0000
0.0000 0.0000 5.6442
4.4837 0.0387 2.8221
4.4837 -0.0387 8.4663
14.3962 0.0387 2.8221
14.3962 -0.0387 8.4663
6.4289 1.6841 0.3399
6.4289 1.6841 5.3043
7.7987 1.4809 8.4663
9.4400 1.8719 2.8221
11.0812 1.4809 8.4663
12.4510 1.6841 0.3399
12.4510 1.6841 5.3043
6.4289 -1.6841 5.9842
6.4289 -1.6841 10.9485
7.7987 -1.4809 2.8221
9.4400 -1.8719 8.4663
11.0812 -1.4809 2.8221
12.4510 -1.6841 5.9842
12.4510 -1.6841 10.9485
9.4400 0.0000 0.0000
9.4400 0.0000 5.6442